[1]
## Y2ZnSi2Ir5 (GGA-PBE)

Data for Y2ZnSi2Ir5 after structural relaxation.

Values from the calculation:
* uncorrected energy: -7.718 eV per atom
* uncorrected formation energy: -0.7822 eV per atom

a b c (Å): 9.705 9.705 3.487
angles (deg): 90.00 90.00 90.00
Sites, in units of the cell vectors:
Y 0.175 0.325 0.000
Y 0.325 0.825 0.000
Y 0.675 0.175 0.000
Y 0.825 0.675 0.000
Zn 0.000 0.000 0.000
Zn 0.500 0.500 0.000
Si 0.126 0.626 0.000
Si 0.374 0.126 0.000
Si 0.626 0.874 0.000
Si 0.874 0.374 0.000
Ir 0.000 0.500 0.500
Ir 0.067 0.790 0.500
Ir 0.210 0.067 0.500
Ir 0.290 0.567 0.500
Ir 0.433 0.290 0.500
Ir 0.500 0.000 0.500
Ir 0.567 0.710 0.500
Ir 0.710 0.433 0.500
Ir 0.790 0.933 0.500
Ir 0.933 0.210 0.500

[2]
## La12Cd3O5 (GGA-PBE)

Data for La12Cd3O5 after structural relaxation.

Values from the calculation:
* uncorrected energy: -5.781 eV per atom
* uncorrected formation energy: -1.4479 eV per atom

a b c (Å): 14.317 14.317 14.317
angles (deg): 109.47 109.47 109.47
Sites, in units of the cell vectors:
La 0.009 0.196 0.106
La 0.009 0.312 0.903
La 0.091 0.696 0.688
La 0.091 0.894 0.403
La 0.097 0.606 0.409
La 0.097 0.991 0.688
La 0.106 0.009 0.196
La 0.106 0.597 0.909
La 0.188 0.196 0.591
La 0.188 0.491 0.597
La 0.196 0.106 0.009
La 0.196 0.591 0.188
La 0.304 0.312 0.909
La 0.304 0.491 0.394
La 0.312 0.903 0.009
La 0.312 0.909 0.304
La 0.394 0.304 0.491
La 0.394 0.591 0.903
La 0.403 0.091 0.894
La 0.403 0.812 0.509
La 0.409 0.097 0.606
La 0.409 0.812 0.804
La 0.491 0.394 0.304
La 0.491 0.597 0.188
La 0.509 0.403 0.812
La 0.509 0.606 0.696
La 0.591 0.188 0.196
La 0.591 0.903 0.394
La 0.597 0.188 0.491
La 0.597 0.909 0.106
La 0.606 0.409 0.097
La 0.606 0.696 0.509
La 0.688 0.091 0.696
La 0.688 0.097 0.991
La 0.696 0.509 0.606
La 0.696 0.688 0.091
La 0.804 0.409 0.812
La 0.804 0.894 0.991
La 0.812 0.509 0.403
La 0.812 0.804 0.409
La 0.894 0.403 0.091
La 0.894 0.991 0.804
La 0.903 0.009 0.312
La 0.903 0.394 0.591
La 0.909 0.106 0.597
La 0.909 0.304 0.312
La 0.991 0.688 0.097
La 0.991 0.804 0.894
Cd 0.125 0.250 0.375
Cd 0.125 0.375 0.750
Cd 0.250 0.375 0.125
Cd 0.250 0.875 0.625
Cd 0.375 0.125 0.250
Cd 0.375 0.750 0.125
Cd 0.625 0.250 0.875
Cd 0.625 0.875 0.750
Cd 0.750 0.125 0.375
Cd 0.750 0.625 0.875
Cd 0.875 0.625 0.250
Cd 0.875 0.750 0.625
O 0.000 0.000 0.000
O 0.000 0.000 0.500
O 0.000 0.500 0.000
O 0.000 0.500 0.500
O 0.125 0.750 0.875
O 0.125 0.875 0.250
O 0.250 0.125 0.875
O 0.250 0.625 0.375
O 0.375 0.250 0.625
O 0.375 0.625 0.750
O 0.500 0.000 0.000
O 0.500 0.000 0.500
O 0.500 0.500 0.000
O 0.500 0.500 0.500
O 0.625 0.375 0.250
O 0.625 0.750 0.375
O 0.750 0.375 0.625
O 0.750 0.875 0.125
O 0.875 0.125 0.750
O 0.875 0.250 0.125

[3]
## ScCrOs (GGA-PBE)

Data for ScCrOs after structural relaxation.

Values from the calculation:
* uncorrected energy: -8.825 eV per atom
* distance to the lowest polymorph of the same formula: 1.551 eV per formula unit

a b c (Å): 6.876 6.675 2.753
angles (deg): 82.42 74.20 23.38
Sites, in units of the cell vectors:
Sc 0.000 0.000 0.000
Cr 0.324 0.324 0.676
Os 0.676 0.676 0.324

[4]
## Cr3BAu (GGA-PBE)

Data for Cr3BAu after structural relaxation.

Values from the calculation:
* uncorrected energy: -5.607 eV per atom
* distance to the lowest polymorph of the same formula: 9.468 eV per formula unit

a b c (Å): 4.988 4.988 4.988
angles (deg): 90.00 90.00 90.00
Sites, in units of the cell vectors:
Cr 0.000 0.000 0.500
Cr 0.000 0.500 0.000
Cr 0.500 0.000 0.000
B 0.500 0.500 0.500
Au 0.000 0.000 0.000

[5]
## CdC3Se (GGA-PBE)

Data for CdC3Se after structural relaxation.

Values from the calculation:
* uncorrected energy: -2.984 eV per atom
* distance to the lowest polymorph of the same formula: 3.248 eV per formula unit
* uncorrected formation energy: 3.4304 eV per atom

a b c (Å): 4.332 4.332 4.332
angles (deg): 90.00 90.00 90.00
Sites, in units of the cell vectors:
Cd 0.000 0.000 0.000
C 0.000 0.000 0.500
C 0.000 0.500 0.000
C 0.500 0.000 0.000
Se 0.500 0.500 0.500

[6]
## BaSrSe2 (GGA-PBE)

Data for BaSrSe2 after structural relaxation.

Values from the calculation:
* uncorrected energy: -4.294 eV per atom
* distance to the lowest polymorph of the same formula: 1.600 eV per formula unit
* uncorrected formation energy: -1.6504 eV per atom

a b c (Å): 7.764 7.764 7.764
angles (deg): 146.64 146.64 47.90
Sites, in units of the cell vectors:
Ba 0.000 0.000 0.000
Sr 0.750 0.250 0.500
Se 0.250 0.750 0.500
Se 0.500 0.500 0.000

[7]
## Ge4As (GGA-PBE)

Data for Ge4As after structural relaxation.

Values from the calculation:
* uncorrected energy: -3.859 eV per atom

a b c (Å): 4.990 4.990 4.990
angles (deg): 90.00 90.00 90.00
Sites, in units of the cell vectors:
Ge 0.000 0.000 0.000
Ge 0.000 0.500 0.500
Ge 0.500 0.000 0.500
Ge 0.500 0.500 0.000
As 0.500 0.500 0.500

[8]
## Ti3PtC (GGA-PBE)

Data for Ti3PtC after structural relaxation.

Values from the calculation:
* uncorrected energy: -8.302 eV per atom
* distance to the lowest polymorph of the same formula: 1.561 eV per formula unit

a b c (Å): 4.996 11.772 4.946
angles (deg): 90.00 90.00 90.00
Sites, in units of the cell vectors:
Ti 0.001 0.125 0.065
Ti 0.001 0.250 0.571
Ti 0.001 0.375 0.065
Ti 0.499 0.625 0.565
Ti 0.499 0.750 0.071
Ti 0.499 0.875 0.565
Ti 0.501 0.125 0.435
Ti 0.501 0.250 0.929
Ti 0.501 0.375 0.435
Ti 0.999 0.625 0.935
Ti 0.999 0.750 0.429
Ti 0.999 0.875 0.935
Pt 0.000 0.000 0.500
Pt 0.000 0.500 0.500
Pt 0.500 0.000 0.000
Pt 0.500 0.500 0.000
C 0.249 0.750 0.750
C 0.251 0.250 0.250
C 0.749 0.750 0.750
C 0.751 0.250 0.250